Record 1
Compound: RbOsS2Cl
Source: Alexandria via LeMat-Bulk
Functional: PBE
Structure: optimized geometry

Summary:
* VASP energy: -2.497 eV per atom
* ΔE_f (raw): 1963 meV/atom
* M_tot: 8.0 μB/f.u.
* DOS(E_F): 6.4 states/eV/cell
* offset from the most stable computed form: 2.312 eV per atom

Unit cell a=5.8309 b=5.8309 c=5.7707 alpha=90.00 beta=90.00 gamma=90.00
With the nearest neighbours (Å) after each atom.
Space group P4/mmm (No. 123)
Inequivalent atoms, fractional coordinates:
Rb  0.0000  0.0000  0.0000  2 Cl 2.89, 4 S 2.92
Os  0.5000  0.5000  0.5000  8 S 4.10, 4 Cl 4.12
S  0.0000  0.5000  0.0000  2 Rb 2.92
Cl  0.0000  0.0000  0.5000  2 Rb 2.89

Record 2
Compound: YReSi2Tc
Source: Alexandria via LeMat-Bulk
Functional: PBE
Structure: optimized geometry

Summary:
* VASP energy: -8.571 eV per atom
* ΔE_f (raw): -546 meV/atom
* M_tot: 0.0 μB/f.u.
* DOS(E_F): 10.1 states/eV/cell

Unit cell a=4.1206 b=4.1206 c=10.1767 alpha=90.00 beta=90.00 gamma=90.00
With the nearest neighbours (Å) after each atom.
Space group I-4m2 (No. 119)
Inequivalent atoms, fractional coordinates:
Y  0.0000  0.0000  0.0000  8 Si 3.17, 4 Re 3.27, 4 Tc 3.27
Re  0.0000  0.5000  0.7500  4 Si 2.44
Si  0.0000  0.0000  0.3784  2 Tc 2.44, 2 Re 2.44, 1 Si 2.48
Tc  0.0000  0.5000  0.2500  4 Si 2.44

Record 3
Compound: KSe
Source: Alexandria via LeMat-Bulk
Functional: PBE
Structure: optimized geometry

Summary:
* VASP energy: -2.907 eV per atom
* ΔE_f (raw): -616 meV/atom
* M_tot: 0.0 μB/f.u.
* DOS(E_F): 6.5 states/eV/cell

Unit cell a=5.3192 b=5.3192 c=15.3063 alpha=90.00 beta=90.00 gamma=120.00
With the nearest neighbours (Å) after each atom.
Space group R-3m (No. 166, hexagonal axes)
Inequivalent atoms, fractional coordinates:
K  0.0000  0.0000  0.1090  4 K 3.34-3.54, 7 Se 3.43-3.50
Se  0.0000  0.0000  0.3328  3 Se 3.07, 1 K 3.43

Record 4
Compound: BaMgOs
Source: Alexandria via LeMat-Bulk
Functional: PBE
Structure: optimized geometry

Summary:
* VASP energy: -3.244 eV per atom
* M_tot: 1.8 μB/f.u.
* DOS(E_F): 29.8 states/eV/cell
* offset from the most stable computed form: 1.064 eV per atom

Unit cell a=7.2819 b=7.2819 c=7.2819 alpha=90.00 beta=90.00 gamma=90.00
With the nearest neighbours (Å) after each atom.
Space group F-43m (No. 216)
Inequivalent atoms, fractional coordinates:
Ba  0.0000  0.0000  0.0000  4 Os 3.15, 4 Mg 3.15
Mg  0.2500  0.2500  0.2500  4 Ba 3.15
Os  0.2500  0.2500  0.7500  4 Ba 3.15

Record 5
Compound: Sc2GaFeRe
Source: Alexandria via LeMat-Bulk
Functional: PBE
Structure: optimized geometry

Summary:
* VASP energy: -6.716 eV per atom
* M_tot: 2.3 μB/f.u.
* DOS(E_F): 4.1 states/eV/cell

Unit cell a=4.5929 b=4.5929 c=4.4854 alpha=90.00 beta=90.00 gamma=90.00
With the nearest neighbours (Å) after each atom.
Space group P4/mmm (No. 123)
Inequivalent atoms, fractional coordinates:
Sc  0.0000  0.5000  0.0000  2 Fe 2.30
Ga  0.0000  0.0000  0.5000  2 Fe 2.24
Fe  0.0000  0.0000  0.0000  2 Ga 2.24, 4 Sc 2.30
Re  0.5000  0.5000  0.5000  8 Sc 3.21, 4 Ga 3.25

Record 6
Compound: Ce3Th2UP6
Source: Alexandria via LeMat-Bulk
Functional: PBE
Structure: optimized geometry

Summary:
* VASP energy: -7.793 eV per atom
* M_tot: 3.9 μB/f.u.
* DOS(E_F): 38.3 states/eV/cell

Unit cell a=17.8144 b=4.0793 c=8.1928 alpha=90.00 beta=103.21 gamma=90.00
With the nearest neighbours (Å) after each atom.
Space group C2/m (No. 12)
Inequivalent atoms, fractional coordinates:
Ce  0.0000  0.0000  0.0000  6 P 2.88-2.94
Ce  0.1674  0.5000  0.3346  6 P 2.87-2.94
Th  0.1657  0.5000  0.8327  6 P 2.90-2.92
U  0.0000  0.0000  0.5000  6 P 2.83-2.84
P  0.0015  0.5000  0.2597  2 U 2.84, 3 Ce 2.88-2.94, 1 Th 2.90
P  0.1632  0.0000  0.5791  1 U 2.83, 3 Ce 2.87-2.94, 2 Th 2.90
P  0.1662  0.0000  0.0862  3 Ce 2.88, 3 Th 2.91-2.92

Record 7
Compound: Cu6NiAu
Source: Alexandria via LeMat-Bulk
Functional: PBE
Structure: optimized geometry

Summary:
* VASP energy: -4.222 eV per atom
* M_tot: 0.0 μB/f.u.
* DOS(E_F): 1.6 states/eV/cell

Unit cell a=3.7110 b=3.7110 c=7.2961 alpha=90.00 beta=90.00 gamma=90.00
With the nearest neighbours (Å) after each atom.
Space group P4/mmm (No. 123)
Inequivalent atoms, fractional coordinates:
Cu  0.0000  0.0000  0.0000  8 Cu 2.52, 4 Ni 2.62
Cu  0.0000  0.0000  0.5000  4 Au 2.62, 8 Cu 2.68
Cu  0.0000  0.5000  0.2345  2 Ni 2.52, 8 Cu 2.52-2.68, 2 Au 2.68
Ni  0.5000  0.5000  0.0000  12 Cu 2.52-2.62
Au  0.5000  0.5000  0.5000  12 Cu 2.62-2.68